## ZrScRh2 (PBE-GGA)

Data for a relaxed ZrScRh2 crystal.

Properties
DFT formation energy ... -534.4 meV per atom
Magnetization ... 0.00 μB per cell
N(E_F) ... 3.20 states/eV/f.u.
E ... -7.930 eV/atom

```
8
Lattice="8.2828 0.0000 0.0000 0.0000 3.2085 0.0000 -1.2145 0.0000 5.4645" Properties=species:S:1:pos:R:3 pbc="T T T"
Zr 0.0000 0.0000 0.0000
Zr 4.1414 1.6043 0.0000
Sc -0.6072 1.6043 2.7323
Sc 3.5342 0.0000 2.7323
Rh 1.1606 0.0000 4.0939
Rh 1.7663 1.6043 1.3707
Rh 5.9078 0.0000 1.3707
Rh 5.3020 1.6043 4.0939
```